No. 1
HoO3, optimized geometry, DFT PBE; magnetic moment = 0.750 μB per atom; ΔE_f (raw) = -1.5416 eV/atom; calculated density = 5.7 g cm⁻³; electronic total energy = -6.40 eV per atom; DOS at the Fermi energy = 0.38 states/eV per cell; energy relative to the lowest polymorph listed for this composition = 0.000 eV/f.u.
1.0
6.4757 0.0000 0.0000
-3.2379 5.6082 0.0000
0.0000 0.0000 3.3943
Ho O
2 6
Direct
0.3333 0.6667 0.2500
0.6667 0.3333 0.7500
0.0572 0.4234 0.7500
0.3662 0.9428 0.7500
0.4234 0.3662 0.2500
0.5766 0.6338 0.7500
0.6338 0.0572 0.2500
0.9428 0.5766 0.2500

No. 2
CsHgSe3, optimized geometry, DFT PBE; magnetic moment = 0.000 μB per atom; ΔE_f (raw) = -0.0493 eV/atom; calculated density = 5.9 g cm⁻³; electronic total energy = -2.37 eV per atom; DOS at the Fermi energy = 7.30 states/eV per cell; energy relative to the lowest polymorph listed for this composition = 0.000 eV/f.u.
1.0
5.4317 0.0000 0.0000
0.0000 5.4317 0.0000
0.0000 0.0000 5.4317
Cs Hg Se
1 1 3
Direct
0.0000 0.0000 0.0000
0.5000 0.5000 0.5000
0.0000 0.5000 0.5000
0.5000 0.0000 0.5000
0.5000 0.5000 0.0000

No. 3
RbIn2Pb, optimized geometry, DFT PBE; magnetic moment = 0.000 μB per atom; calculated density = 4.2 g cm⁻³; electronic total energy = -2.38 eV per atom; DOS at the Fermi energy = 6.94 states/eV per cell
1.0
5.0555 0.0000 0.0000
-2.5277 4.3782 0.0000
0.0000 0.0000 28.1641
Rb In Pb
3 6 3
Direct
0.0000 0.0000 0.0000
0.3333 0.6667 0.6667
0.6667 0.3333 0.3333
0.0000 0.0000 0.1280
0.0000 0.0000 0.8720
0.3333 0.6667 0.5387
0.3333 0.6667 0.7946
0.6667 0.3333 0.2054
0.6667 0.3333 0.4613
0.0000 0.0000 0.5000
0.3333 0.6667 0.1667
0.6667 0.3333 0.8333

No. 4
NaTl3Pb7, optimized geometry, DFT PBE; magnetic moment = 0.000 μB per atom; calculated density = 9.8 g cm⁻³; electronic total energy = -3.11 eV per atom; DOS at the Fermi energy = 7.79 states/eV per cell
1.0
6.9540 0.0000 0.0000
-3.4770 6.0224 0.0000
0.0000 0.0000 8.4745
Na Tl Pb
1 3 7
Direct
0.0000 0.0000 0.0000
0.1658 0.3316 0.3355
0.1658 0.8342 0.3355
0.6684 0.8342 0.3355
0.3333 0.6667 0.6751
0.3392 0.1696 0.6649
0.5051 0.0103 0.0078
0.5051 0.4949 0.0078
0.8304 0.1696 0.6649
0.8304 0.6608 0.6649
0.9897 0.4949 0.0078

No. 5
Zn12CdAu7, optimized geometry, DFT PBE; magnetic moment = 0.000 μB per atom; calculated density = 11.4 g cm⁻³; electronic total energy = -2.09 eV per atom; DOS at the Fermi energy = 5.46 states/eV per cell
1.0
5.8328 3.3675 2.8082
-5.8328 3.3675 2.8082
0.0000 -6.7351 2.8082
Zn Cd Au
12 1 7
Direct
0.1354 0.8378 0.2650
0.1612 0.6037 0.4775
0.1622 0.7350 0.8646
0.2650 0.1354 0.8378
0.3963 0.5225 0.8388
0.4775 0.1612 0.6037
0.5225 0.8388 0.3963
0.6037 0.4775 0.1612
0.7350 0.8646 0.1622
0.8378 0.2650 0.1354
0.8388 0.3963 0.5225
0.8646 0.1622 0.7350
0.5000 0.5000 0.5000
0.0000 0.0000 0.0000
0.1003 0.2008 0.4779
0.2008 0.4779 0.1003
0.4779 0.1003 0.2008
0.5221 0.8997 0.7992
0.7992 0.5221 0.8997
0.8997 0.7992 0.5221

No. 6
Cs2FeHgI6, optimized geometry, DFT PBE; magnetic moment = 0.406 μB per atom; ΔE_f (raw) = -0.6958 eV/atom; calculated density = 5.0 g cm⁻³; electronic total energy = -2.67 eV per atom; DOS at the Fermi energy = 3.86 states/eV per cell
1.0
-4.2078 4.2078 6.0536
4.2078 -4.2078 6.0536
4.2078 4.2078 -6.0536
Cs Fe Hg I
2 1 1 6
Direct
0.2500 0.7500 0.5000
0.7500 0.2500 0.5000
0.0000 0.0000 0.0000
0.5000 0.5000 0.0000
0.2225 0.2225 0.0000
0.2425 0.2425 0.4850
0.2425 0.7575 0.0000
0.7575 0.2425 0.0000
0.7575 0.7575 0.5150
0.7775 0.7775 0.0000